RbBaTa2 | GGA-PBE | optimized geometry Values from VASP.

Calculated values
The formation energy comes out at 2.298 eV per atom. For the energy above the most stable polymorph in this dataset, the calculation gives 0.487 eV per atom. The space group is Fm-3m (225). Its calculated total energy is -17.41 eV/f.u.

Cell and atoms, written as Quantum ESPRESSO input:
```
&SYSTEM
  ibrav = 0, nat = 4, ntyp = 3
/
ATOMIC_SPECIES
Rb 85.47 Rb.upf
Ba 137.33 Ba.upf
Ta 180.95 Ta.upf
CELL_PARAMETERS angstrom
0.0000 3.8404 3.8404
3.8404 0.0000 3.8404
3.8404 3.8404 0.0000
ATOMIC_POSITIONS angstrom
Rb 0.0000 0.0000 0.0000
Ba 3.8404 3.8404 3.8404
Ta 1.9202 1.9202 1.9202
Ta 5.7605 5.7605 5.7605
```